ErReBr: relaxed, PBE-GGA.

Cell and atoms, written as POSCAR:
```
ErReBr
1.0
4.111 0.000 0.000
2.056 3.560 0.000
2.056 1.187 11.423
Br Re Er
2 2 2
direct
0.718 0.718 0.845
0.282 0.282 0.155
0.839 0.839 0.482
0.161 0.161 0.518
0.562 0.562 0.313
0.438 0.438 0.687
```

Results
Its formation energy (no corrections) is -853 meV per atom. Its symmetry is No. 166. Its volume is 167 Å³ per cell. The calculation puts the calculated total energy at -0.520 Ry/atom.